The following is a DFT calculation (PBE) of an optimized crystal structure of MgGa6Au12.

abc: 7.578 7.578 7.578
angles: 108.84 108.84 108.84
Positions (direct):
Au 0.543 0.664 0.815
Au 0.725 0.158 0.088
Au 0.185 0.457 0.336
Au 0.275 0.842 0.912
Au 0.457 0.336 0.185
Au 0.664 0.815 0.543
Au 0.912 0.275 0.842
Au 0.842 0.912 0.275
Au 0.815 0.543 0.664
Au 0.088 0.725 0.158
Au 0.158 0.088 0.725
Au 0.336 0.185 0.457
Ga 0.896 0.610 0.375
Ga 0.104 0.390 0.625
Ga 0.625 0.104 0.390
Ga 0.390 0.625 0.104
Ga 0.375 0.896 0.610
Ga 0.610 0.375 0.896
Mg 0.000 0.000 0.000

Results
Its density of states at the Fermi level is 0.190 states/eV per atom. The value obtained for the total energy is -62.63 eV for the cell shown. The calculation puts the formation energy at -18.0 kJ/mol of atoms.